# Hf2CoF2 (PBE+U, optimized geometry)
data_Hf2CoF2
_chemical_formula_sum 'Hf4 Co2 F4'
_cell_length_a 7.026
_cell_length_b 7.026
_cell_length_c 2.763
_cell_angle_alpha 90.00
_cell_angle_beta 90.00
_cell_angle_gamma 90.00
_space_group_name_H-M_alt 'P 4/m b m'
_space_group_IT_number 127
_space_group_name_Hall '-P 4 2ab'
loop_
_atom_site_label
_atom_site_type_symbol
_atom_site_fract_x
_atom_site_fract_y
_atom_site_fract_z
_atom_site_occupancy
Hf1 Hf 0.210 0.290 0.000 1
Co1 Co 0.000 0.000 0.500 1
F1 F 0.110 0.610 0.500 1
# - DOS(E_F): 6.5 states/eV/cell
# - Energy above the lowest structure with this stoichiometry: 0.998 eV per formula unit